## 1
## ErFe2O4 (GGA+U)

Data for crystalline ErFe2O4 at its relaxed geometry.

As for the crystal system: trigonal. As for the total magnetic moment: 5.2 μB/f.u.

It has space group R-3m (No. 166, hexagonal axes), with a = 3.5641 Å, b = 3.5641 Å, c = 23.4040 Å, α = 90.00°, β = 90.00° and γ = 120.00°. The asymmetric unit holds Er at (0.0000, 0.0000, 0.0000), Fe at (0.0000, 0.0000, 0.2100), O at (0.0000, 0.0000, 0.1268) and O at (0.0000, 0.0000, 0.2912).

***

## 2
## ErFe2O4 (GGA+U)

Data for crystalline ErFe2O4 at its relaxed geometry.

As for the crystal system: triclinic. As for the total magnetic moment: 0.0 μB/f.u.

It has space group P-1 (No. 2), with a = 5.7735 Å, b = 5.8289 Å, c = 5.8306 Å, α = 109.81°, β = 109.26° and γ = 109.09°. The asymmetric unit holds Er at (0.2502, 0.1179, 0.3814), Fe at (0.0000, 0.5000, 0.0000), Fe at (0.0000, 0.5000, 0.5000), Fe at (0.5000, 0.0000, 0.0000), Fe at (0.5000, 0.5000, 0.0000), O at (0.0569, 0.2798, 0.6924), O at (0.0772, 0.8018, 0.8458), O at (0.4240, 0.6539, 0.6987) and O at (0.4438, 0.8097, 0.2217).

***

Of all the structures shown, which is most stable? 1, and 2 is the least stable.